{"formula": "Na3Cr3IrS8", "functional": "PBE-GGA", "state": "optimized geometry", "raw_formation_energy_kj_per_mol_atoms": -77, "space_group": "No. 12", "cell": [[6.132, -3.538, 0.000], [6.132, 3.538, 0.000], [-4.097, 0.000, 6.578]], "species": ["Na", "Na", "Na", "Cr", "Cr", "Cr", "Ir", "S", "S", "S", "S", "S", "S", "S", "S"], "fractional_positions": [[0.000, 0.000, 0.000], [0.000, 0.500, 0.000], [0.500, 0.000, 0.000], [0.000, 0.500, 0.500], [0.500, 0.000, 0.500], [0.500, 0.500, 0.500], [0.000, 0.000, 0.500], [0.231, 0.231, 0.695], [0.231, 0.733, 0.695], [0.267, 0.769, 0.305], [0.268, 0.268, 0.303], [0.732, 0.732, 0.697], [0.733, 0.231, 0.695], [0.769, 0.267, 0.305], [0.769, 0.769, 0.305]]}